# 1
VASP calculation (PBE) on Cd4In2Ag3 after structural relaxation.

It has space group C2/c (No. 15), with a = 13.7036 Å, b = 10.7551 Å, c = 5.3460 Å, α = 90.00°, β = 100.33° and γ = 90.00°. The inequivalent atoms are Cd at (0.0572, 0.1194, 0.0284), Cd at (0.2257, 0.3743, 0.8555), In at (0.1121, 0.3765, 0.3067), Ag at (0.0000, 0.3577, 0.7500) and Ag at (0.1641, 0.1285, 0.5876).

For the raw total energy, the calculation gives -70.17 eV for the cell shown.

# 2
VASP calculation (PBE) on Ho8AsSe3S4 after structural relaxation.

It has space group R-3m (No. 166, hexagonal axes), with a = 7.9363 Å, b = 7.9363 Å, c = 19.6132 Å, α = 90.00°, β = 90.00° and γ = 120.00°. The inequivalent atoms are Ho at (0.0000, 0.0000, 0.2408), Ho at (0.0091, 0.5045, 0.7566), As at (0.0000, 0.0000, 0.0000), Se at (0.0000, 0.5000, 0.0000), S at (0.0000, 0.0000, 0.5000) and S at (0.0000, 0.5000, 0.5000).

For the raw total energy, the calculation gives -293.31 eV for the cell shown. Its formation energy without anion corrections is -178 kJ/mol of atoms.

# 3
VASP calculation (PBE) on CaMg2Cl after structural relaxation.

It has space group F-43m (No. 216), with a = 7.6347 Å, b = 7.6347 Å, c = 7.6347 Å, α = 90.00°, β = 90.00° and γ = 90.00°. The inequivalent atoms are Ca at (0.0000, 0.0000, 0.0000), Mg at (0.0000, 0.0000, 0.5000), Mg at (0.2500, 0.2500, 0.2500) and Cl at (0.2500, 0.2500, 0.7500).

As for the offset from the most stable computed form: 381 meV/atom. For the raw total energy, the calculation gives -32.97 eV for the cell shown. Its formation energy without anion corrections is -29 kJ/mol of atoms.